(1)
# Rb3BF6, optimized geometry, DFT PBE-GGA
# Uncorrected energy in Ha/atom: -0.1706
# Energy above the lowest structure with this stoichiometry in eV per formula unit: 2.76
# ΔE_f (raw) in eV per atom: -2.562
# Total magnetization in μB per cell: 0.00
data_Rb3BF6
_chemical_formula_sum 'Rb3 B1 F6'
_cell_length_a 6.1219
_cell_length_b 6.1219
_cell_length_c 6.1219
_cell_angle_alpha 60.00
_cell_angle_beta 60.00
_cell_angle_gamma 60.00
_symmetry_space_group_name_H-M 'P 1'
_symmetry_Int_Tables_number 1
loop_
_symmetry_equiv_pos_as_xyz
'x,y,z'
loop_
_atom_site_label
_atom_site_type_symbol
_atom_site_fract_x
_atom_site_fract_y
_atom_site_fract_z
Rb1 Rb 0.0000 0.0000 0.0000
Rb2 Rb 0.2500 0.2500 0.2500
Rb3 Rb 0.7500 0.7500 0.7500
B1 B 0.5000 0.5000 0.5000
F1 F 0.3089 0.3089 0.6911
F2 F 0.3089 0.6911 0.3089
F3 F 0.3089 0.6911 0.6911
F4 F 0.6911 0.3089 0.3089
F5 F 0.6911 0.3089 0.6911
F6 F 0.6911 0.6911 0.3089

---

(2)
# La5Pb, optimized geometry, DFT PBE-GGA
# Uncorrected energy in Ha/atom: -0.1793
# Calculated formation energy in eV/atom: -0.15
# Energy above the lowest structure with this stoichiometry in eV per formula unit: 0.41
# Total magnetization in μB per cell: 0.00
data_La5Pb
_chemical_formula_sum 'La5 Pb1'
_cell_length_a 3.6992
_cell_length_b 3.6992
_cell_length_c 15.4405
_cell_angle_alpha 90.00
_cell_angle_beta 90.00
_cell_angle_gamma 90.00
_symmetry_space_group_name_H-M 'P 1'
_symmetry_Int_Tables_number 1
loop_
_symmetry_equiv_pos_as_xyz
'x,y,z'
loop_
_atom_site_label
_atom_site_type_symbol
_atom_site_fract_x
_atom_site_fract_y
_atom_site_fract_z
La1 La 0.0000 0.0000 0.0000
La2 La 0.0000 0.0000 0.3495
La3 La 0.0000 0.0000 0.6505
La4 La 0.5000 0.5000 0.1705
La5 La 0.5000 0.5000 0.8295
Pb1 Pb 0.5000 0.5000 0.5000

---

(3)
# MoAs2W, optimized geometry, DFT PBE-GGA
# Uncorrected energy in Ha/atom: -0.2992
# Calculated formation energy in eV/atom: 0.13
# Energy above the lowest structure with this stoichiometry in eV per formula unit: 0.61
# Total magnetization in μB per cell: 0.00
data_MoAs2W
_chemical_formula_sum 'Mo1 As2 W1'
_cell_length_a 8.2278
_cell_length_b 8.2278
_cell_length_c 8.2278
_cell_angle_alpha 21.98
_cell_angle_beta 21.98
_cell_angle_gamma 21.98
_symmetry_space_group_name_H-M 'P 1'
_symmetry_Int_Tables_number 1
loop_
_symmetry_equiv_pos_as_xyz
'x,y,z'
loop_
_atom_site_label
_atom_site_type_symbol
_atom_site_fract_x
_atom_site_fract_y
_atom_site_fract_z
Mo1 Mo 0.0000 0.0000 0.0000
As1 As 0.5032 0.5032 0.5032
As2 As 0.7409 0.7409 0.7409
W1 W 0.2447 0.2447 0.2447

---

(4)
# Zn2SbAu10, optimized geometry, DFT PBE-GGA
# Uncorrected energy in Ha/atom: -0.1116
# ΔE_f (raw) in eV per atom: -0.002
# Total magnetization in μB per cell: 0.00
data_Zn2SbAu10
_chemical_formula_sum 'Zn2 Sb1 Au10'
_cell_length_a 9.3458
_cell_length_b 7.3492
_cell_length_c 7.0177
_cell_angle_alpha 81.12
_cell_angle_beta 50.98
_cell_angle_gamma 47.89
_symmetry_space_group_name_H-M 'P 1'
_symmetry_Int_Tables_number 1
loop_
_symmetry_equiv_pos_as_xyz
'x,y,z'
loop_
_atom_site_label
_atom_site_type_symbol
_atom_site_fract_x
_atom_site_fract_y
_atom_site_fract_z
Zn1 Zn 0.0000 0.0000 0.5000
Zn2 Zn 0.5000 0.5000 0.0000
Sb1 Sb 0.0000 0.0000 0.0000
Au1 Au 0.0000 0.5000 0.0000
Au2 Au 0.0124 0.6632 0.3368
Au3 Au 0.2838 0.5079 0.4921
Au4 Au 0.3368 0.9876 0.0124
Au5 Au 0.4921 0.7162 0.2838
Au6 Au 0.5000 0.0000 0.5000
Au7 Au 0.5079 0.2838 0.7162
Au8 Au 0.6632 0.0124 0.9876
Au9 Au 0.7162 0.4921 0.5079
Au10 Au 0.9876 0.3368 0.6632

---

(5)
# ZrSc2Ni, optimized geometry, DFT PBE-GGA
# Uncorrected energy in Ha/atom: -0.2571
# Calculated formation energy in eV/atom: -0.25
# Energy above the lowest structure with this stoichiometry in eV per formula unit: 0.00
# Total magnetization in μB per cell: 0.00
data_ZrSc2Ni
_chemical_formula_sum 'Zr2 Sc4 Ni2'
_cell_length_a 5.8829
_cell_length_b 5.8829
_cell_length_c 8.7600
_cell_angle_alpha 90.00
_cell_angle_beta 90.00
_cell_angle_gamma 147.82
_symmetry_space_group_name_H-M 'P 1'
_symmetry_Int_Tables_number 1
loop_
_symmetry_equiv_pos_as_xyz
'x,y,z'
loop_
_atom_site_label
_atom_site_type_symbol
_atom_site_fract_x
_atom_site_fract_y
_atom_site_fract_z
Zr1 Zr 0.0635 0.9365 0.7500
Zr2 Zr 0.9365 0.0635 0.2500
Sc1 Sc 0.3660 0.6340 0.5637
Sc2 Sc 0.3660 0.6340 0.9363
Sc3 Sc 0.6340 0.3660 0.0637
Sc4 Sc 0.6340 0.3660 0.4363
Ni1 Ni 0.2455 0.7545 0.2500
Ni2 Ni 0.7545 0.2455 0.7500

---

(6)
# Dy3Er3TmS8, optimized geometry, DFT PBE-GGA
# Uncorrected energy in Ha/atom: -0.2342
# ΔE_f (raw) in eV per atom: -2.041
# Total magnetization in μB per cell: 0.00
data_Dy3Er3TmS8
_chemical_formula_sum 'Dy3 Er3 Tm1 S8'
_cell_length_a 7.7564
_cell_length_b 7.7564
_cell_length_c 7.7564
_cell_angle_alpha 59.90
_cell_angle_beta 59.90
_cell_angle_gamma 59.90
_symmetry_space_group_name_H-M 'P 1'
_symmetry_Int_Tables_number 1
loop_
_symmetry_equiv_pos_as_xyz
'x,y,z'
loop_
_atom_site_label
_atom_site_type_symbol
_atom_site_fract_x
_atom_site_fract_y
_atom_site_fract_z
Dy1 Dy 0.0000 0.5000 0.5000
Dy2 Dy 0.5000 0.0000 0.5000
Dy3 Dy 0.5000 0.5000 0.0000
Er1 Er 0.0000 0.0000 0.5000
Er2 Er 0.0000 0.5000 0.0000
Er3 Er 0.5000 0.0000 0.0000
Tm1 Tm 0.5000 0.5000 0.5000
S1 S 0.2485 0.7491 0.7491
S2 S 0.2488 0.2488 0.2488
S3 S 0.2509 0.2509 0.7515
S4 S 0.2509 0.7515 0.2509
S5 S 0.7491 0.2485 0.7491
S6 S 0.7491 0.7491 0.2485
S7 S 0.7512 0.7512 0.7512
S8 S 0.7515 0.2509 0.2509

---

(7)
# Tl2CdSb, optimized geometry, DFT PBE-GGA
# Uncorrected energy in Ha/atom: -0.0888
# Energy above the lowest structure with this stoichiometry in eV per formula unit: 0.08
# ΔE_f (raw) in eV per atom: 0.025
# Total magnetization in μB per cell: 0.00
data_Tl2CdSb
_chemical_formula_sum 'Tl2 Cd1 Sb1'
_cell_length_a 3.4762
_cell_length_b 4.7166
_cell_length_c 7.4123
_cell_angle_alpha 90.00
_cell_angle_beta 102.08
_cell_angle_gamma 90.00
_symmetry_space_group_name_H-M 'P 1'
_symmetry_Int_Tables_number 1
loop_
_symmetry_equiv_pos_as_xyz
'x,y,z'
loop_
_atom_site_label
_atom_site_type_symbol
_atom_site_fract_x
_atom_site_fract_y
_atom_site_fract_z
Tl1 Tl 0.0000 0.0000 0.0000
Tl2 Tl 0.3530 0.5000 0.6950
Cd1 Cd 0.5912 0.5000 0.2116
Sb1 Sb 0.7410 0.0000 0.4580

---

(8)
# NpTl3Rh2S6, optimized geometry, DFT PBE-GGA
# Uncorrected energy in Ha/atom: -0.2054
# ΔE_f (raw) in eV per atom: -0.631
# Total magnetization in μB per cell: 2.74
data_NpTl3Rh2S6
_chemical_formula_sum 'Np1 Tl3 Rh2 S6'
_cell_length_a 6.1262
_cell_length_b 6.1262
_cell_length_c 8.5729
_cell_angle_alpha 98.01
_cell_angle_beta 98.01
_cell_angle_gamma 120.13
_symmetry_space_group_name_H-M 'P 1'
_symmetry_Int_Tables_number 1
loop_
_symmetry_equiv_pos_as_xyz
'x,y,z'
loop_
_atom_site_label
_atom_site_type_symbol
_atom_site_fract_x
_atom_site_fract_y
_atom_site_fract_z
Np1 Np 0.0000 0.0000 0.0000
Tl1 Tl 0.1678 0.8322 0.5000
Tl2 Tl 0.5000 0.5000 0.5000
Tl3 Tl 0.8322 0.1678 0.5000
Rh1 Rh 0.3334 0.6666 0.0000
Rh2 Rh 0.6666 0.3334 0.0000
S1 S 0.0676 0.4322 0.1726
S2 S 0.2978 0.2978 0.8280
S3 S 0.4322 0.0676 0.1726
S4 S 0.5678 0.9324 0.8274
S5 S 0.7022 0.7022 0.1720
S6 S 0.9324 0.5678 0.8274

---

(9)
# KSi2Mo, optimized geometry, DFT PBE-GGA
# Uncorrected energy in Ha/atom: -0.1680
# Energy above the lowest structure with this stoichiometry in eV per formula unit: 4.18
# ΔE_f (raw) in eV per atom: 1.122
# Total magnetization in μB per cell: 0.03
data_KSi2Mo
_chemical_formula_sum 'K1 Si2 Mo1'
_cell_length_a 5.4335
_cell_length_b 5.4335
_cell_length_c 5.4335
_cell_angle_alpha 136.75
_cell_angle_beta 136.75
_cell_angle_gamma 62.83
_symmetry_space_group_name_H-M 'P 1'
_symmetry_Int_Tables_number 1
loop_
_symmetry_equiv_pos_as_xyz
'x,y,z'
loop_
_atom_site_label
_atom_site_type_symbol
_atom_site_fract_x
_atom_site_fract_y
_atom_site_fract_z
K1 K 0.0000 0.0000 0.0000
Si1 Si 0.5000 0.5000 0.0000
Si2 Si 0.7500 0.2500 0.5000
Mo1 Mo 0.2500 0.7500 0.5000

---

(10)
# Ac8Rh4O, optimized geometry, DFT PBE-GGA
# Uncorrected energy in Ha/atom: -0.2236
# ΔE_f (raw) in eV per atom: -0.913
# Total magnetization in μB per cell: 0.00
data_Ac8Rh4O
_chemical_formula_sum 'Ac8 Rh4 O1'
_cell_length_a 8.5451
_cell_length_b 8.5451
_cell_length_c 8.5451
_cell_angle_alpha 60.00
_cell_angle_beta 60.00
_cell_angle_gamma 60.00
_symmetry_space_group_name_H-M 'P 1'
_symmetry_Int_Tables_number 1
loop_
_symmetry_equiv_pos_as_xyz
'x,y,z'
loop_
_atom_site_label
_atom_site_type_symbol
_atom_site_fract_x
_atom_site_fract_y
_atom_site_fract_z
Ac1 Ac 0.3691 0.8770 0.8770
Ac2 Ac 0.3815 0.3815 0.3815
Ac3 Ac 0.3815 0.3815 0.8556
Ac4 Ac 0.3815 0.8556 0.3815
Ac5 Ac 0.8556 0.3815 0.3815
Ac6 Ac 0.8770 0.3691 0.8770
Ac7 Ac 0.8770 0.8770 0.3691
Ac8 Ac 0.8770 0.8770 0.8770
Rh1 Rh 0.1243 0.6252 0.6252
Rh2 Rh 0.6252 0.1243 0.6252
Rh3 Rh 0.6252 0.6252 0.1243
Rh4 Rh 0.6252 0.6252 0.6252
O1 O 0.0000 0.0000 0.0000

---

(11)
# TaCrIr3, optimized geometry, DFT PBE-GGA
# Uncorrected energy in Ha/atom: -0.2841
# Calculated formation energy in eV/atom: 1.88
# Energy above the lowest structure with this stoichiometry in eV per formula unit: 3.64
# Total magnetization in μB per cell: 0.22
data_TaCrIr3
_chemical_formula_sum 'Ta1 Cr1 Ir3'
_cell_length_a 4.7409
_cell_length_b 4.7409
_cell_length_c 4.7409
_cell_angle_alpha 90.00
_cell_angle_beta 90.00
_cell_angle_gamma 90.00
_symmetry_space_group_name_H-M 'P 1'
_symmetry_Int_Tables_number 1
loop_
_symmetry_equiv_pos_as_xyz
'x,y,z'
loop_
_atom_site_label
_atom_site_type_symbol
_atom_site_fract_x
_atom_site_fract_y
_atom_site_fract_z
Ta1 Ta 0.0000 0.0000 0.0000
Cr1 Cr 0.5000 0.5000 0.5000
Ir1 Ir 0.0000 0.0000 0.5000
Ir2 Ir 0.0000 0.5000 0.0000
Ir3 Ir 0.5000 0.0000 0.0000

---

(12)
# PmHoScTl, optimized geometry, DFT PBE-GGA
# Uncorrected energy in Ha/atom: -0.1656
# Calculated formation energy in eV/atom: 0.00
# Energy above the lowest structure with this stoichiometry in eV per formula unit: 0.70
# Total magnetization in μB per cell: 1.94
data_PmHoScTl
_chemical_formula_sum 'Pm1 Ho1 Sc1 Tl1'
_cell_length_a 5.3641
_cell_length_b 5.3641
_cell_length_c 5.3641
_cell_angle_alpha 60.00
_cell_angle_beta 60.00
_cell_angle_gamma 60.00
_symmetry_space_group_name_H-M 'P 1'
_symmetry_Int_Tables_number 1
loop_
_symmetry_equiv_pos_as_xyz
'x,y,z'
loop_
_atom_site_label
_atom_site_type_symbol
_atom_site_fract_x
_atom_site_fract_y
_atom_site_fract_z
Pm1 Pm 0.0000 0.0000 0.0000
Ho1 Ho 0.2500 0.2500 0.2500
Sc1 Sc 0.7500 0.7500 0.7500
Tl1 Tl 0.5000 0.5000 0.5000